YTc2IrRu (PBE, relaxed); ΔE_f = 255.4 kJ per mole of atoms; symmetry = No. 123
1.0
-1.123 -1.658 4.217
4.463 0.944 1.560
-1.363 4.267 1.315
Ru Ir Y Tc
1 1 1 2
Direct
0.500 0.500 0.500
0.000 0.500 0.000
0.000 0.000 0.000
0.500 0.000 0.000
0.000 0.000 0.500

---

ZnTcIrRu (PBE, relaxed); ΔE_f = 13.6 kJ per mole of atoms; symmetry = No. 216
1.0
-2.256 -2.102 3.059
-1.938 -3.772 -0.938
1.535 -3.705 1.670
Ru Zn Ir Tc
1 1 1 1
Direct
0.250 0.250 0.250
0.000 0.000 0.000
0.750 0.750 0.750
0.500 0.500 0.500

---

Te2IrRu (PBE, relaxed); ΔE_f (raw) = 536 meV per atom; symmetry = No. 166; offset from the most stable computed form = 634 meV per atom
1.0
2.021 0.000 8.438
-1.010 1.750 8.438
-1.010 -1.750 8.438
Ir Te Ru
1 2 1
Direct
0.000 0.000 0.000
0.900 0.900 0.900
0.100 0.100 0.100
0.500 0.500 0.500

---

TeIrRu (PBE, relaxed); ΔE_f (raw) = 614 meV per atom; symmetry = No. 38; offset from the most stable computed form = 338 meV per atom
1.0
-2.997 0.406 -0.323
1.446 -2.067 -1.699
-2.204 -9.024 9.102
Te Ir Ru
2 2 2
Direct
0.278 0.555 0.821
0.278 0.555 0.179
0.613 0.226 0.000
0.277 0.554 0.500
0.611 0.221 0.654
0.611 0.221 0.346

---

TeIrRu2 (PBE, relaxed); ΔE_f (raw) = 332 meV per atom; symmetry = No. 123
1.0
3.927 0.000 0.000
0.000 3.995 0.000
0.000 0.000 3.995
Ru Ir Te
2 1 1
Direct
0.000 0.000 0.000
0.000 0.500 0.500
0.500 0.000 0.500
0.500 0.500 0.000

---

TeIrRu2 (PBE, relaxed); ΔE_f (raw) = 414 meV per atom; symmetry = No. 10
1.0
4.017 0.000 0.000
0.000 2.950 0.000
0.000 1.834 5.453
Te Ir Ru
1 1 2
Direct
0.500 0.250 0.250
0.500 0.750 0.750
0.000 0.386 0.513
0.000 0.114 0.987

---

Te6IrRu (PBE, relaxed); ΔE_f (raw) = -68 meV per atom; symmetry = No. 12; offset from the most stable computed form = 103 meV per atom
1.0
-5.979 -0.199 5.801
-0.093 -7.151 -4.277
7.452 0.952 3.702
Te Ru Ir
12 2 2
Direct
0.153 0.675 0.828
0.324 0.172 0.844
0.481 0.156 0.327
0.828 0.153 0.673
0.156 0.326 0.482
0.328 0.480 0.156
0.676 0.828 0.156
0.844 0.674 0.518
0.172 0.847 0.327
0.519 0.844 0.673
0.847 0.325 0.172
0.672 0.520 0.844
0.500 0.500 0.500
0.000 0.000 0.500
0.500 0.000 0.000
0.000 0.500 0.000

---

Te6IrRu (PBE, relaxed); ΔE_f (raw) = -171 meV per atom; symmetry = No. 2; offset from the most stable computed form = 0 meV per atom
1.0
6.597 0.000 0.054
3.284 5.766 0.142
3.324 2.015 5.471
Te Ir Ru
6 1 1
Direct
0.427 0.769 0.733
0.724 0.056 0.783
0.276 0.944 0.217
0.951 0.552 0.274
0.573 0.231 0.267
0.049 0.448 0.726
0.500 0.500 0.500
0.000 0.000 0.000

---

TeIrRu2 (PBE, relaxed); ΔE_f (raw) = 486 meV per atom; symmetry = No. 44
1.0
-4.193 1.990 -2.805
-2.661 -3.210 -3.469
1.565 0.929 5.109
Ir Ru Te
1 2 1
Direct
0.269 0.769 0.500
0.000 0.000 0.000
0.730 0.230 0.500
0.502 0.502 0.000

---

Te2IrRu (PBE, relaxed); ΔE_f (raw) = 262 meV per atom; symmetry = No. 160; offset from the most stable computed form = 360 meV per atom
1.0
7.383 -0.687 -0.406
6.630 3.320 -0.406
6.630 1.246 3.104
Ir Te Ru
1 2 1
Direct
0.498 0.498 0.498
0.210 0.210 0.210
0.041 0.041 0.041
0.750 0.750 0.750

---

Te2IrRu (PBE, relaxed); ΔE_f (raw) = 776 meV per atom; symmetry = No. 71; offset from the most stable computed form = 874 meV per atom
1.0
5.536 0.021 0.016
2.020 5.154 -0.016
-2.924 -3.834 2.719
Ir Ru Te
1 1 2
Direct
0.250 0.750 0.500
0.750 0.250 0.500
0.998 0.998 0.000
0.502 0.502 0.000

---

Te2IrRu (PBE, relaxed); ΔE_f (raw) = 377 meV per atom; symmetry = No. 166; offset from the most stable computed form = 475 meV per atom
1.0
7.690 0.001 0.001
6.890 3.416 0.001
6.890 1.615 3.011
Ir Te Ru
1 2 1
Direct
0.250 0.250 0.250
0.998 0.998 0.998
0.502 0.502 0.502
0.750 0.750 0.750

---

Te3IrRu (PBE, relaxed); ΔE_f (raw) = 1231 meV per atom; symmetry = No. 221; offset from the most stable computed form = 59 meV per atom
1.0
-3.661 -3.473 1.016
2.800 -1.803 3.926
-2.293 3.345 3.171
Te Ru Ir
3 1 1
Direct
0.000 0.500 0.000
0.000 0.000 0.500
0.500 0.000 0.000
0.500 0.500 0.500
0.000 0.000 0.000

---

TeIrRu2 (PBE, relaxed); ΔE_f (raw) = 388 meV per atom; symmetry = No. 38
1.0
3.999 0.000 0.000
0.000 2.930 -0.201
0.000 1.839 5.432
Ru Ir Te
2 1 1
Direct
0.500 0.313 0.249
0.000 0.937 0.001
0.500 0.545 0.783
0.000 0.704 0.468

---

Te3IrRu (PBE, relaxed); ΔE_f (raw) = 1172 meV per atom; symmetry = No. 221; offset from the most stable computed form = 0 meV per atom
1.0
5.058 0.000 0.000
0.000 5.058 0.000
0.000 0.000 5.058
Te Ru Ir
3 1 1
Direct
0.500 0.000 0.000
0.000 0.000 0.500
0.000 0.500 0.000
0.000 0.000 0.000
0.500 0.500 0.500

---

Te2IrRu (PBE, relaxed); ΔE_f (raw) = -98 meV per atom; symmetry = No. 6; offset from the most stable computed form = 0 meV per atom
1.0
-1.982 3.613 0.187
-0.629 -0.555 4.039
5.242 2.814 1.191
Te Ir Ru
2 1 1
Direct
0.000 0.876 0.884
0.500 0.374 0.365
0.000 0.375 0.625
0.500 0.875 0.625

---

Te2IrRu (PBE, relaxed); ΔE_f (raw) = 491 meV per atom; symmetry = No. 44; offset from the most stable computed form = 589 meV per atom
1.0
-3.318 -4.834 0.347
2.276 -5.176 1.589
-1.185 5.613 1.258
Ru Te Ir
1 2 1
Direct
0.748 0.248 0.500
0.270 0.770 0.500
0.975 0.975 0.000
0.507 0.507 0.000

---

Te2IrRu (PBE, relaxed); ΔE_f (raw) = 277 meV per atom; symmetry = No. 122; offset from the most stable computed form = 375 meV per atom
1.0
5.898 0.000 0.000
0.000 5.898 0.000
2.949 2.949 5.919
Ir Ru Te
2 2 4
Direct
0.750 0.250 0.500
0.000 0.000 0.000
0.500 0.500 0.000
0.250 0.750 0.500
0.375 0.378 0.750
0.128 0.625 0.250
0.622 0.125 0.250
0.875 0.872 0.750

---

TeIrRu2 (PBE, relaxed); ΔE_f (raw) = 831 meV per atom; symmetry = No. 65
1.0
-1.477 -1.701 1.791
1.424 -1.139 -2.226
7.602 -0.960 5.356
Te Ru Ir
1 2 1
Direct
0.500 0.500 0.250
0.000 0.000 0.989
0.000 0.000 0.511
0.500 0.500 0.750

---

Te2IrRu (PBE, relaxed); ΔE_f (raw) = 584 meV per atom; symmetry = No. 119; offset from the most stable computed form = 682 meV per atom
1.0
-1.651 -0.308 5.256
-1.264 -4.943 2.102
4.125 2.291 -2.861
Te Ru Ir
2 1 1
Direct
0.250 0.750 0.500
0.000 0.000 0.000
0.750 0.250 0.500
0.500 0.500 0.000

---

TeIrRu (PBE, relaxed); ΔE_f (raw) = 471 meV per atom; symmetry = No. 156; offset from the most stable computed form = 194 meV per atom
1.0
-3.894 -1.442 0.911
3.422 -2.232 1.175
0.072 1.643 2.910
Ru Ir Te
1 1 1
Direct
0.667 0.333 0.405
0.000 0.000 0.939
0.333 0.667 0.656

---

TeIrRu (PBE, relaxed); ΔE_f (raw) = 580 meV per atom; symmetry = No. 156; offset from the most stable computed form = 304 meV per atom
1.0
3.087 0.000 0.000
-1.543 2.673 0.000
0.000 0.000 6.260
Ir Ru Te
1 1 1
Direct
0.000 0.000 0.003
0.667 0.333 0.338
0.333 0.667 0.660

---

TeIrRu2 (PBE, relaxed); ΔE_f (raw) = 560 meV per atom; symmetry = No. 160
1.0
-1.433 8.163 -3.079
-4.104 7.576 -1.980
-1.981 8.614 -0.218
Ru Ir Te
2 1 1
Direct
0.998 0.998 0.998
0.253 0.253 0.253
0.747 0.747 0.747
0.502 0.502 0.502

---

TeIrRu2 (PBE, relaxed); ΔE_f (raw) = 517 meV per atom; symmetry = No. 166
1.0
-4.619 3.827 -6.197
-3.047 1.910 -7.839
-5.557 1.023 -6.515
Ru Te Ir
2 1 1
Direct
0.500 0.500 0.500
0.000 0.000 0.000
0.250 0.250 0.250
0.750 0.750 0.750

---

TeIrRu2 (PBE, relaxed); ΔE_f (raw) = 341 meV per atom; symmetry = No. 139
1.0
-3.578 -1.669 2.606
2.060 -2.885 3.133
1.065 4.493 -1.030
Ir Te Ru
1 1 2
Direct
0.750 0.250 0.500
0.250 0.750 0.500
0.000 0.000 0.000
0.500 0.500 0.000

---

TeIrRu2 (PBE, relaxed); ΔE_f (raw) = 381 meV per atom; symmetry = No. 65
1.0
4.704 0.001 0.000
-1.180 4.554 0.000
0.000 0.000 2.953
Ru Ir Te
2 1 1
Direct
0.000 0.000 0.000
0.500 0.500 0.000
0.000 0.500 0.500
0.500 0.000 0.500

---

TeIrRu2 (PBE, relaxed); ΔE_f (raw) = 527 meV per atom; symmetry = No. 71
1.0
5.382 0.000 0.001
2.573 4.727 -0.001
-3.429 -3.286 2.532
Ru Ir Te
2 1 1
Direct
0.977 0.977 0.000
0.523 0.523 0.000
0.250 0.750 0.500
0.750 0.250 0.500

---

TeIrRu (PBE, relaxed); ΔE_f (raw) = 276 meV per atom; symmetry = No. 216; offset from the most stable computed form = 0 meV per atom
1.0
4.271 0.000 0.000
2.135 3.699 0.000
2.135 1.233 3.487
Te Ru Ir
1 1 1
Direct
0.750 0.750 0.750
0.500 0.500 0.500
0.000 0.000 0.000

---

TeIrRu2 (PBE, relaxed); ΔE_f (raw) = 398 meV per atom; symmetry = No. 47
1.0
2.940 0.000 0.000
0.000 3.736 0.000
0.000 0.000 5.876
Ir Te Ru
1 1 2
Direct
0.500 0.500 0.750
0.500 0.500 0.250
0.000 0.000 0.524
0.000 0.000 0.976

---

Number 1: mass density 9.14 g cm⁻³, total moment 0.004 μB/f.u.. Number 2: mass density 13.09 g cm⁻³, total moment 1.834 μB/f.u.. Number 3: mass density 10.17 g cm⁻³, total moment 0.512 μB/f.u.. Number 4: mass density 13.42 g cm⁻³, total moment 0.000 μB/f.u.. Number 5: mass density 13.83 g cm⁻³, total moment 0.000 μB/f.u.. Number 6: mass density 13.41 g cm⁻³, total moment 0.000 μB/f.u.. Number 7: mass density 7.84 g cm⁻³, total moment 0.000 μB/f.u.. Number 8: mass density 8.56 g cm⁻³, total moment 0.000 μB/f.u.. Number 9: mass density 13.47 g cm⁻³, total moment 0.963 μB/f.u.. Number 10: mass density 8.99 g cm⁻³, total moment 0.000 μB/f.u.. Number 11: mass density 11.79 g cm⁻³, total moment 0.000 μB/f.u.. Number 12: mass density 11.52 g cm⁻³, total moment 0.001 μB/f.u.. Number 13: mass density 8.23 g cm⁻³, total moment 0.000 μB/f.u.. Number 14: mass density 13.31 g cm⁻³, total moment 0.000 μB/f.u.. Number 15: mass density 8.67 g cm⁻³, total moment 0.000 μB/f.u.. Number 16: mass density 8.82 g cm⁻³, total moment 0.000 μB/f.u.. Number 17: mass density 11.92 g cm⁻³, total moment 0.000 μB/f.u.. Number 18: mass density 8.85 g cm⁻³, total moment 0.000 μB/f.u.. Number 19: mass density 12.94 g cm⁻³, total moment 0.931 μB/f.u.. Number 20: mass density 12.15 g cm⁻³, total moment 0.000 μB/f.u.. Number 21: mass density 13.36 g cm⁻³, total moment 0.000 μB/f.u.. Number 22: mass density 13.53 g cm⁻³, total moment 0.000 μB/f.u.. Number 23: mass density 13.28 g cm⁻³, total moment 0.000 μB/f.u.. Number 24: mass density 13.40 g cm⁻³, total moment 0.000 μB/f.u.. Number 25: mass density 13.81 g cm⁻³, total moment 0.000 μB/f.u.. Number 26: mass density 13.70 g cm⁻³, total moment 0.000 μB/f.u.. Number 27: mass density 13.46 g cm⁻³, total moment 0.002 μB/f.u.. Number 28: mass density 12.69 g cm⁻³, total moment 0.000 μB/f.u.. Number 29: mass density 13.43 g cm⁻³, total moment 0.000 μB/f.u..